Entry 1:
Entry from OQMD: a relaxed Lu4InCoC2 crystal (PBE).

Results
Its space group is No. 187.

```
8
Lattice="3.480 0.000 0.000 -1.740 3.014 0.000 0.000 0.000 14.683" Properties=species:S:1:pos:R:3 pbc="T T T"
C 0.000 2.009 3.997
C 0.000 2.009 10.685
Co 1.740 1.005 7.341
In 0.000 0.000 0.000
Lu 1.740 1.005 2.754
Lu 0.000 0.000 5.381
Lu 0.000 0.000 9.302
Lu 1.740 1.005 11.929
```

Entry 2:
Entry from OQMD: a relaxed Lu4InCoC2 crystal (PBE).

Results
Its space group is No. 187.

```
8
Lattice="-0.732 -1.764 2.920 3.030 1.706 -0.295 -6.212 12.017 5.704" Properties=species:S:1:pos:R:3 pbc="T T T"
C 0.353 3.302 2.083
C -3.014 9.814 5.174
Co 0.000 0.000 0.000
In -2.584 5.401 4.701
Lu -0.317 1.015 2.619
Lu -1.948 3.768 1.788
Lu -4.264 8.249 3.915
Lu -4.851 9.787 6.782
```

Entry 3:
Entry from OQMD: a relaxed InCoMo4C2 crystal (PBE).

Results
Its space group is No. 187.

```
8
Lattice="3.086 0.000 0.000 -1.543 2.672 0.000 0.000 0.000 13.229" Properties=species:S:1:pos:R:3 pbc="T T T"
C 0.000 1.781 3.066
C 0.000 1.781 10.162
Co 0.000 0.000 0.000
In 1.543 0.891 6.614
Mo 1.543 0.891 1.892
Mo 0.000 0.000 4.196
Mo 0.000 0.000 9.032
Mo 1.543 0.891 11.337
```

Entry 4:
Entry from OQMD: a relaxed InCo4C2S crystal (PBE).

Results
Its space group is No. 187.

```
8
Lattice="-2.395 -1.782 -0.497 2.266 -0.966 1.758 -5.107 4.362 8.978" Properties=species:S:1:pos:R:3 pbc="T T T"
C -2.202 -0.348 2.647
C -4.588 1.690 6.841
Co -0.996 0.850 1.750
Co -1.102 0.312 4.196
Co -2.580 1.574 6.795
Co -4.112 3.512 7.227
In 0.712 -1.238 1.007
S -2.554 2.181 4.489
```

Entry 5:
Entry from OQMD: a relaxed K3CoC6N6 crystal (PBE).

Results
Its space group is No. 14.

```
32
Lattice="6.920 0.000 -0.006 0.000 10.253 0.000 -2.482 0.000 7.891" Properties=species:S:1:pos:R:3 pbc="T T T"
C 0.754 8.568 0.214
C 5.373 9.696 0.883
C 0.757 0.513 1.627
C 4.922 5.640 2.313
C 0.307 4.569 3.057
C 4.925 3.442 3.726
C -0.487 6.811 4.160
C 4.132 5.683 4.828
C -0.484 4.613 5.572
C 3.681 9.739 6.258
C -0.934 0.557 7.002
C 3.684 1.685 7.671
Co 0.000 0.000 0.000
Co -1.241 5.126 3.945
K 0.000 5.126 0.000
K 3.164 2.786 0.986
K 2.515 7.913 2.954
K -1.241 0.000 3.945
K 1.923 2.340 4.931
K 1.274 7.466 6.899
N 1.267 7.520 0.365
N 4.467 5.958 1.277
N 4.408 9.350 1.460
N 1.271 4.224 2.480
N 1.213 0.832 2.663
N 4.413 2.394 3.575
N 0.026 7.859 4.310
N 3.226 9.421 5.222
N 3.167 6.029 5.405
N 0.030 0.903 6.426
N -0.028 4.295 6.608
N 3.172 2.732 7.520
```

no.,raw total energy (hartree per atom)
1,-0.2227
2,-0.2230
3,-0.3260
4,-0.2402
5,-0.2714